Material: USiPt3
Method: DFT, GGA-PBE
State: relaxed

Cell lengths 6.262, 6.262, 6.262 Å; angles 142.76, 142.76, 53.69 degrees
Fractional positions:
U: 0.000 0.000 0.000
Si: 0.370 0.370 0.000
Pt: 0.252 0.752 0.500
Pt: 0.577 0.577 0.000
Pt: 0.752 0.252 0.500

**Calculated density**: 15.83 Mg/m³
**Energy above the lowest structure with this stoichiometry**: 0 meV/atom
**VASP energy**: -7.7615 eV per atom
**Fermi-level density of states**: 1.66 states/eV per atom
**Formation energy (no corrections)**: -0.79 eV/atom